# 1
VASP calculation (GGA-PBE) on crystalline CoSn2HgPb at its relaxed geometry.

Computed properties:
energy of formation	0.104	eV per atom
V	128	Å³/cell
D(E_F)	4.88	states/eV/f.u.
energy above the lowest structure with this stoichiometry	0.000	eV per atom
E_tot	-3.7199	eV per atom

Cell lengths 4.9441, 4.9441, 5.2288 Å; angles 90.00, 90.00, 90.00 degrees
Site moments in Bohr magnetons follow the coordinates.
Fractional positions:
Sn (0.5000, 0.0000, 0.0000)  0.01
Sn (0.0000, 0.5000, 0.0000)  0.01
Hg (0.5000, 0.5000, 0.5000)  0.00
Pb (0.0000, 0.0000, 0.5000)  0.00
Co (0.0000, 0.0000, 0.0000)  0.21


# 2
VASP calculation (GGA-PBE) on crystalline RbCa2NdCl8 at its relaxed geometry.

Computed properties:
V	389	Å³/cell
D(E_F)	0.00	states/eV/f.u.
E_form (uncorrected)	-2.26	eV per atom
E_tot	-4.2980	eV per atom

Cell lengths 6.7506, 6.5289, 8.8278 Å; angles 90.00, 90.00, 89.48 degrees
Fractional positions:
Cl (0.6766, 0.7257, 0.0000)
Cl (0.3234, 0.2743, 0.0000)
Ca (0.5000, 0.5000, 0.7455)
Ca (0.5000, 0.5000, 0.2545)
Cl (0.8205, 0.2391, 0.2150)
Rb (0.0000, 0.0000, 0.5000)
Cl (0.1795, 0.7609, 0.7850)
Cl (0.3684, 0.2869, 0.5000)
Cl (0.6316, 0.7131, 0.5000)
Cl (0.1795, 0.7609, 0.2150)
Cl (0.8205, 0.2391, 0.7850)
Nd (0.0000, 0.0000, 0.0000)


# 3
VASP calculation (GGA-PBE) on crystalline Er3CuSn at its relaxed geometry.

Computed properties:
energy of formation	-0.213	eV per atom
V	501	Å³/cell
D(E_F)	3.79	states/eV/f.u.
E_tot	-4.5702	eV per atom

Cell lengths 5.8640, 8.2279, 10.3761 Å; angles 90.00, 90.00, 90.00 degrees
Fractional positions:
Er (0.7168, 0.7852, 0.2500)
Er (0.9993, 0.1407, 0.0977)
Er (0.0007, 0.8593, 0.9023)
Er (0.0007, 0.8593, 0.5977)
Er (0.9993, 0.1407, 0.4023)
Er (0.2168, 0.7148, 0.2500)
Er (0.2832, 0.2148, 0.7500)
Er (0.5007, 0.6407, 0.5977)
Cu (0.0799, 0.5781, 0.7500)
Sn (0.0000, 0.5000, 0.0000)
Er (0.4993, 0.3593, 0.4023)
Cu (0.4201, 0.0781, 0.2500)
Sn (0.0000, 0.5000, 0.5000)
Cu (0.9201, 0.4219, 0.2500)
Sn (0.5000, 0.0000, 0.5000)
Er (0.7832, 0.2852, 0.7500)
Cu (0.5799, 0.9219, 0.7500)
Sn (0.5000, 0.0000, 0.0000)
Er (0.5007, 0.6407, 0.9023)
Er (0.4993, 0.3593, 0.0977)


# 4
VASP calculation (GGA-PBE) on crystalline In2Cu2Sb at its relaxed geometry.

Computed properties:
V	207	Å³/cell
D(E_F)	2.12	states/eV/f.u.
energy above the lowest structure with this stoichiometry	0.098	eV per atom
E_form (uncorrected)	0.21	eV per atom
E_tot	-3.3465	eV per atom

Cell lengths 8.3899, 8.3899, 2.9346 Å; angles 90.00, 90.00, 90.00 degrees
Fractional positions:
In (0.1825, 0.3175, 0.0000)
In (0.3175, 0.8175, 0.0000)
Sb (0.5000, 0.5000, 0.0000)
Cu (0.3946, 0.1054, 0.5000)
Cu (0.1054, 0.6054, 0.5000)
In (0.6825, 0.1825, 0.0000)
Sb (0.0000, 0.0000, 0.0000)
In (0.8175, 0.6825, 0.0000)
Cu (0.6054, 0.8946, 0.5000)
Cu (0.8946, 0.3946, 0.5000)